The following is a PBE with a Hubbard U calculation of crystalline Pr3WCl2O6 at its relaxed geometry, from Alexandria via LeMat-Bulk.

CIF file:
```
data_Pr3WCl2O6
_chemical_formula_sum 'Pr6 W2 Cl4 O12'
_cell_length_a 12.3105
_cell_length_b 6.5159
_cell_length_c 5.6043
_cell_angle_alpha 90.00
_cell_angle_beta 97.99
_cell_angle_gamma 90.00
_symmetry_space_group_name_H-M 'C 1 2/m 1'
_symmetry_Int_Tables_number 12
_symmetry_space_group_name_Hall '-C 2y'
loop_
_atom_site_label
_atom_site_type_symbol
_atom_site_fract_x
_atom_site_fract_y
_atom_site_fract_z
_atom_site_occupancy
Pr1 Pr 0.0000 0.0000 0.0000 1
Pr2 Pr 0.2500 0.2500 0.5000 1
W1 W 0.0000 0.5000 0.5000 1
Cl1 Cl 0.2098 0.0000 0.8871 1
O1 O 0.0564 0.2752 0.3018 1
O2 O 0.1455 0.5000 0.6783 1
```

Values from the calculation:
Crystal system: monoclinic
Total magnetization, μB/f.u.: 0.273
Total DFT energy (no corrections), eV per atom: -6.997